VASP calculation (GGA-PBE) on a geometry-optimized Ti4P2S structure.

The raw formation energy comes out at -491.4 meV per atom. The value obtained for the volume is 241 Å³ per cell.

The structure belongs to space group I4/mmm (No. 139); the cell edges are 4.2799, 4.2799 and 13.1643 Å and the angles 90.00°, 90.00° and 90.00°. Symmetry generates all atoms from Ti at (0.0000, 0.0000, 0.1808), Ti at (0.0000, 0.5000, 0.0000), P at (0.0000, 0.0000, 0.3647) and S at (0.0000, 0.0000, 0.0000).